Compound: Ca2GeN3
Source: Alexandria
Functional: PBE-GGA
Structure: optimized geometry

Unit cell a=11.160 b=6.538 c=5.224 alpha=90.00 beta=90.00 gamma=90.00
Space group Cmc2_1 (No. 36)
One atom of each set of equivalent atoms:
Ca 0.160 0.175 0.000 [8 per cell]
Ge 0.000 0.344 0.466 [4 per cell]
N 0.000 0.394 0.109 [4 per cell]
N 0.140 0.191 0.524 [8 per cell]

## Properties
The total energy is -6.109 eV per atom. The calculation puts the total moment at 0.166 μB/atom. As for the uncorrected formation energy: -0.51 eV/atom.